Entry 1:
Tb6Ce2PmSm3: relaxed, PBE.

Cell lengths 6.202, 6.202, 11.818 Å; angles 95.02, 95.02, 120.01 degrees
Atoms (fractional coordinates):
Tb  0.081  0.417  0.752
Tb  0.247  0.247  0.248
Tb  0.417  0.081  0.752
Tb  0.583  0.919  0.248
Tb  0.753  0.753  0.752
Tb  0.919  0.583  0.248
Ce  0.167  0.833  0.000
Ce  0.833  0.167  0.000
Pm  0.500  0.500  0.000
Sm  0.000  0.000  0.500
Sm  0.334  0.666  0.500
Sm  0.666  0.334  0.500

Computed properties:
**Formation enthalpy at 0 K**: 47 meV/atom
**Size of the total moment**: 0.159 μB per atom
**Space-group type**: C2/m, No. 12

Entry 2:
Tb5CePmSm2: relaxed, PBE.

Cell lengths 9.928, 9.928, 9.928 Å; angles 128.24, 128.24, 76.23 degrees
Atoms (fractional coordinates):
Tb  0.000  0.000  0.000
Tb  0.061  0.561  0.900
Tb  0.161  0.061  0.500
Tb  0.339  0.839  0.900
Tb  0.439  0.339  0.500
Tb  0.500  0.500  0.000
Tb  0.561  0.661  0.500
Tb  0.661  0.161  0.100
Tb  0.839  0.939  0.500
Tb  0.939  0.439  0.100
Ce  0.250  0.750  0.500
Ce  0.750  0.250  0.500
Pm  0.250  0.250  0.000
Pm  0.750  0.750  0.000
Sm  0.121  0.379  0.500
Sm  0.379  0.879  0.258
Sm  0.621  0.121  0.742
Sm  0.879  0.621  0.500

Computed properties:
**Formation enthalpy at 0 K**: 269 meV/atom
**Size of the total moment**: 0.117 μB per atom
**Space-group type**: I4/mcm, No. 140

Entry 3:
TbCePm2Sm: relaxed, PBE.

Cell lengths 6.004, 7.977, 7.016 Å; angles 90.00, 90.00, 90.00 degrees
Atoms (fractional coordinates):
Tb  0.250  0.000  0.097
Tb  0.750  0.000  0.903
Ce  0.000  0.000  0.500
Ce  0.500  0.000  0.500
Pm  0.250  0.295  0.810
Pm  0.250  0.705  0.810
Pm  0.750  0.295  0.190
Pm  0.750  0.705  0.190
Sm  0.250  0.500  0.339
Sm  0.750  0.500  0.661

Computed properties:
**Formation enthalpy at 0 K**: 274 meV/atom
**Size of the total moment**: 0.307 μB per atom
**Space-group type**: Pmma, No. 51

Entry 4:
CePm3Sm3Te8: relaxed, PBE.

Cell lengths 8.878, 8.878, 8.900 Å; angles 119.92, 119.92, 60.00 degrees
Atoms (fractional coordinates):
Ce  0.000  0.000  0.000
Pm  0.000  0.000  0.500
Pm  0.000  0.500  0.000
Pm  0.500  0.000  0.000
Sm  0.000  0.500  0.500
Sm  0.500  0.000  0.500
Sm  0.500  0.500  0.000
Te  0.251  0.251  0.749
Te  0.258  0.258  0.259
Te  0.258  0.741  0.742
Te  0.259  0.742  0.258
Te  0.741  0.258  0.742
Te  0.742  0.259  0.258
Te  0.742  0.742  0.741
Te  0.749  0.749  0.251

Computed properties:
**Formation energy without anion corrections**: -1.42 eV per atom
**Size of the total moment**: 0.094 μB per atom
**Space-group type**: C2/m, No. 12

Please write out number 3 again, unchanged.
TbCePm2Sm: relaxed, PBE.

Cell lengths 6.004, 7.977, 7.016 Å; angles 90.00, 90.00, 90.00 degrees
Atoms (fractional coordinates):
Tb  0.250  0.000  0.097
Tb  0.750  0.000  0.903
Ce  0.000  0.000  0.500
Ce  0.500  0.000  0.500
Pm  0.250  0.295  0.810
Pm  0.250  0.705  0.810
Pm  0.750  0.295  0.190
Pm  0.750  0.705  0.190
Sm  0.250  0.500  0.339
Sm  0.750  0.500  0.661

Computed properties:
**Formation enthalpy at 0 K**: 274 meV/atom
**Size of the total moment**: 0.307 μB per atom
**Space-group type**: Pmma, No. 51

Copy entry 2 word for word.
Tb5CePmSm2: relaxed, PBE.

Cell lengths 9.928, 9.928, 9.928 Å; angles 128.24, 128.24, 76.23 degrees
Atoms (fractional coordinates):
Tb  0.000  0.000  0.000
Tb  0.061  0.561  0.900
Tb  0.161  0.061  0.500
Tb  0.339  0.839  0.900
Tb  0.439  0.339  0.500
Tb  0.500  0.500  0.000
Tb  0.561  0.661  0.500
Tb  0.661  0.161  0.100
Tb  0.839  0.939  0.500
Tb  0.939  0.439  0.100
Ce  0.250  0.750  0.500
Ce  0.750  0.250  0.500
Pm  0.250  0.250  0.000
Pm  0.750  0.750  0.000
Sm  0.121  0.379  0.500
Sm  0.379  0.879  0.258
Sm  0.621  0.121  0.742
Sm  0.879  0.621  0.500

Computed properties:
**Formation enthalpy at 0 K**: 269 meV/atom
**Size of the total moment**: 0.117 μB per atom
**Space-group type**: I4/mcm, No. 140

Q: Which value of size of the total moment does entry 3 give?
A: 0.307 μB per atom